Record 1
! Ca4ZnPd, optimized geometry, DFT GGA-PBE; values from VASP
! Distance to the lowest polymorph of the same formula: 0.00 eV/f.u.
! Energy of formation from the pure elements: -0.33 eV per atom
! Fermi-level density of states: 3.49 states/eV/f.u.
! Calculated density: 3151 kg/m³
&SYSTEM
  ibrav = 0, nat = 6, ntyp = 3
/
ATOMIC_SPECIES
Ca 40.08 Ca.upf
Pd 106.42 Pd.upf
Zn 65.41 Zn.upf
ATOMIC_POSITIONS crystal
Ca 0.500 0.500 0.138
Ca 0.000 0.000 0.372
Pd 0.500 0.500 0.500
Ca 0.500 0.500 0.862
Ca 0.000 0.000 0.628
Zn 0.000 0.000 0.000
CELL_PARAMETERS angstrom
3.650 -0.001 0.000
0.001 3.650 0.000
-0.001 -0.001 13.140

=====

Record 2
! CaZn3Pd3, optimized geometry, DFT GGA-PBE; values from VASP
! Energy of formation from the pure elements: -0.14 eV per atom
! Fermi-level density of states: 2.20 states/eV/f.u.
! Calculated density: 5758 kg/m³
&SYSTEM
  ibrav = 0, nat = 14, ntyp = 3
/
ATOMIC_SPECIES
Pd 106.42 Pd.upf
Zn 65.41 Zn.upf
Ca 40.08 Ca.upf
ATOMIC_POSITIONS crystal
Pd 0.000 0.500 0.750
Pd 0.250 0.000 0.500
Zn 0.250 0.500 0.000
Pd 0.500 0.750 0.000
Zn 0.000 0.250 0.500
Pd 0.500 0.250 0.000
Zn 0.000 0.750 0.500
Zn 0.500 0.000 0.750
Ca 0.500 0.500 0.500
Zn 0.750 0.500 0.000
Ca 0.000 0.000 0.000
Zn 0.500 0.000 0.250
Pd 0.000 0.500 0.250
Pd 0.750 0.000 0.500
CELL_PARAMETERS angstrom
6.843 0.000 0.000
0.000 6.843 0.000
0.000 0.000 6.843

=====

Record 3
! CaZn3Pd, optimized geometry, DFT GGA-PBE; values from VASP
! Distance to the lowest polymorph of the same formula: 0.89 eV/f.u.
! Energy of formation from the pure elements: -0.21 eV per atom
! Fermi-level density of states: 2.58 states/eV/f.u.
! Calculated density: 5061 kg/m³
&SYSTEM
  ibrav = 0, nat = 5, ntyp = 3
/
ATOMIC_SPECIES
Pd 106.42 Pd.upf
Zn 65.41 Zn.upf
Ca 40.08 Ca.upf
ATOMIC_POSITIONS crystal
Pd 0.000 0.000 0.000
Zn 0.000 0.500 0.000
Zn 0.500 0.000 0.000
Zn 0.000 0.000 0.500
Ca 0.500 0.500 0.500
CELL_PARAMETERS angstrom
4.827 0.000 0.000
0.000 4.827 0.000
0.000 0.000 4.827

=====

Record 4
! Ca6ZnPd5, optimized geometry, DFT GGA-PBE; values from VASP
! Energy of formation from the pure elements: -0.60 eV per atom
! Fermi-level density of states: 3.91 states/eV/f.u.
! Calculated density: 5154 kg/m³
&SYSTEM
  ibrav = 0, nat = 12, ntyp = 3
/
ATOMIC_SPECIES
Pd 106.42 Pd.upf
Ca 40.08 Ca.upf
Zn 65.41 Zn.upf
ATOMIC_POSITIONS crystal
Pd 0.668 0.668 0.336
Ca 0.830 0.085 0.660
Ca 0.500 0.260 0.000
Ca 0.830 0.575 0.660
Pd 0.661 0.161 0.322
Pd 0.339 0.839 0.678
Pd 0.332 0.332 0.664
Ca 0.500 0.740 0.000
Zn 0.000 0.000 0.000
Ca 0.170 0.425 0.340
Pd 0.000 0.500 0.000
Ca 0.170 0.915 0.340
CELL_PARAMETERS angstrom
-3.306 -3.694 0.647
4.937 -4.782 -2.070
1.436 3.474 7.848